Record 1
A relaxed Li4Ac2In3Hg crystal. Source: Alexandria, functional PBE.

a b c (Å): 4.975 4.975 10.162
angles (deg): 90.00 90.00 90.00
Element x y z (fractional)
Li 0.500 0.000 0.617
Hg 0.500 0.500 0.500
In 0.000 0.000 0.500
Li 0.000 0.500 0.383
Li 0.500 0.500 0.000
In 0.500 0.000 0.879
In 0.000 0.500 0.121
Li 0.000 0.000 0.000
Ac 0.500 0.000 0.249
Ac 0.000 0.500 0.751

Properties
calculated formation energy = -0.309 eV per atom
space group = P-4m2 (115)


Record 2
A relaxed MgIn4Pb crystal. Source: Alexandria, functional PBE.

a b c (Å): 4.388 3.477 11.018
angles (deg): 107.62 90.00 90.00
Element x y z (fractional)
In 0.500 0.654 0.154
In 0.500 0.346 0.846
In 0.000 0.683 0.682
In 0.000 0.317 0.318
Mg 0.000 0.000 0.000
Pb 0.500 0.000 0.500

Properties
calculated formation energy = -0.011 eV per atom
space group = P2/m (10)
distance to the lowest polymorph of the same formula = 0.00 kcal/mol of atoms


Record 3
A relaxed VSbTe2Os crystal. Source: Alexandria, functional PBE.

a b c (Å): 5.328 5.328 4.951
angles (deg): 90.00 90.00 90.00
Element x y z (fractional)
Te 0.500 0.000 0.000
Os 0.000 0.000 0.000
Sb 0.000 0.000 0.500
Te 0.000 0.500 0.000
V 0.500 0.500 0.500

Properties
space group = P4/mmm (123)
formation energy (no corrections) = 1.240 eV per atom
distance to the lowest polymorph of the same formula = 0.00 kcal/mol of atoms


Record 4
A relaxed CdB3Pt6 crystal. Source: Alexandria, functional PBE.

a b c (Å): 5.564 7.240 7.240
angles (deg): 101.39 90.00 90.00
Element x y z (fractional)
Pt 0.264 0.537 0.959
B 0.438 0.321 0.083
Cd 0.519 0.789 0.211
Cd 0.019 0.211 0.789
Pt 0.764 0.959 0.537
Pt 0.882 0.971 0.029
Pt 0.264 0.041 0.463
B 0.938 0.083 0.321
Pt 0.646 0.654 0.699
Pt 0.019 0.729 0.271
Pt 0.146 0.699 0.654
B 0.869 0.556 0.444
Pt 0.146 0.346 0.301
Pt 0.519 0.271 0.729
B 0.938 0.679 0.917
B 0.369 0.444 0.556
Pt 0.764 0.463 0.041
B 0.438 0.917 0.679
Pt 0.382 0.029 0.971
Pt 0.646 0.301 0.346

Properties
calculated formation energy = -0.185 eV per atom
space group = Cmc2_1 (36)


Record 5
A relaxed NiAuN2 crystal. Source: Alexandria, functional PBE.

a b c (Å): 3.881 3.881 3.881
angles (deg): 60.00 60.00 60.00
Element x y z (fractional)
Ni 0.000 0.000 0.000
N 0.750 0.750 0.750
Au 0.500 0.500 0.500
N 0.250 0.250 0.250

Properties
space group = Fm-3m (225)
formation energy (no corrections) = 1.714 eV per atom
distance to the lowest polymorph of the same formula = 22.94 kcal/mol of atoms


Record 6
A relaxed YTm3C crystal. Source: Alexandria, functional PBE.

a b c (Å): 4.979 4.979 4.979
angles (deg): 90.00 90.00 90.00
Element x y z (fractional)
Y 0.500 0.500 0.500
C 0.000 0.000 0.000
Tm 0.500 0.000 0.000
Tm 0.000 0.000 0.500
Tm 0.000 0.500 0.000

Properties
calculated formation energy = -0.045 eV per atom
space group = Pm-3m (221)


Number 1: N(E_F) 8.919 states/eV/f.u.. Number 2: N(E_F) 2.014 states/eV/f.u.. Number 3: N(E_F) 7.135 states/eV/f.u.. Number 4: N(E_F) 2.529 states/eV/f.u.. Number 5: N(E_F) 3.210 states/eV/f.u.. Number 6: N(E_F) 5.687 states/eV/f.u..